*P*
Density functional theory data (PBE-GGA) for a geometry-optimized Bi3P2O10 structure.

Results
SG   P-1 (2)
Mass density   6.5 g/cm³

Cell lengths 6.931, 7.753, 9.237 Å; angles 106.42, 92.64, 111.64 degrees
Positions (direct):
O: 0.859 0.659 0.835
O: 0.381 0.120 0.310
O: 0.438 0.469 0.634
O: 0.786 0.317 0.241
O: 0.876 0.012 0.175
O: 0.951 0.698 0.578
O: 0.524 0.878 0.355
O: 0.049 0.302 0.422
O: 0.619 0.880 0.690
O: 0.562 0.531 0.366
O: 0.214 0.683 0.759
O: 0.666 0.604 0.100
O: 0.141 0.341 0.165
O: 0.476 0.122 0.645
O: 0.138 0.771 0.284
O: 0.370 0.841 0.083
O: 0.334 0.396 0.900
O: 0.630 0.159 0.917
O: 0.862 0.229 0.716
O: 0.124 0.988 0.825
P: 0.964 0.240 0.245
P: 0.647 0.100 0.747
P: 0.353 0.900 0.253
P: 0.036 0.760 0.755
Bi: 0.819 0.802 0.319
Bi: 0.669 0.371 0.495
Bi: 0.547 0.694 0.907
Bi: 0.453 0.306 0.093
Bi: 0.331 0.629 0.505
Bi: 0.181 0.198 0.681


*Q*
Density functional theory data (PBE-GGA) for a geometry-optimized Bi3P2O10 structure.

Results
SG   P-1 (2)
Mass density   6.9 g/cm³

Cell lengths 6.927, 7.207, 9.318 Å; angles 112.16, 106.51, 91.04 degrees
Positions (direct):
Bi: 0.724 0.772 0.301
Bi: 0.195 0.828 0.899
Bi: 0.276 0.228 0.699
Bi: 0.805 0.172 0.101
Bi: 0.775 0.395 0.523
Bi: 0.225 0.605 0.477
O: 0.729 0.570 0.045
O: 0.133 0.378 0.166
O: 0.681 0.829 0.561
O: 0.271 0.430 0.955
O: 0.500 0.502 0.751
O: 0.932 0.016 0.855
O: 0.105 0.473 0.632
O: 0.611 0.145 0.777
O: 0.216 0.883 0.683
O: 0.114 0.836 0.356
O: 0.784 0.117 0.317
O: 0.619 0.852 0.958
O: 0.867 0.622 0.834
O: 0.500 0.498 0.249
O: 0.895 0.527 0.368
O: 0.886 0.164 0.644
O: 0.381 0.148 0.042
O: 0.319 0.171 0.439
O: 0.389 0.855 0.223
O: 0.068 0.984 0.145
P: 0.685 0.637 0.900
P: 0.227 0.964 0.293
P: 0.315 0.363 0.100
P: 0.773 0.036 0.707


*Q* comes first in stability; the runner-up is 14 meV/atom higher.


*P*
Density functional theory data (PBE-GGA) for a geometry-optimized BiP4O12 structure.

Results
SG   C2/c (15)
Mass density   3.7 g/cm³

Cell lengths 8.949, 8.949, 9.595 Å; angles 58.27, 58.27, 47.71 degrees
Positions (direct):
P: 0.337 0.382 0.125
P: 0.273 0.017 0.811
P: 0.017 0.273 0.311
P: 0.382 0.337 0.625
P: 0.618 0.663 0.375
P: 0.663 0.618 0.875
P: 0.983 0.727 0.689
P: 0.727 0.983 0.189
O: 0.027 0.242 0.478
O: 0.300 0.203 0.659
O: 0.810 0.435 0.800
O: 0.447 0.417 0.938
O: 0.700 0.797 0.341
O: 0.502 0.812 0.761
O: 0.498 0.188 0.239
O: 0.435 0.810 0.300
O: 0.119 0.012 0.796
O: 0.553 0.583 0.062
O: 0.242 0.027 0.978
O: 0.012 0.119 0.296
O: 0.973 0.758 0.522
O: 0.190 0.565 0.200
O: 0.188 0.498 0.739
O: 0.417 0.447 0.438
O: 0.583 0.553 0.562
O: 0.797 0.700 0.841
O: 0.565 0.190 0.700
O: 0.203 0.300 0.159
O: 0.881 0.988 0.204
O: 0.988 0.881 0.704
O: 0.812 0.502 0.261
O: 0.758 0.973 0.022
Bi: 0.213 0.787 0.250
Bi: 0.787 0.213 0.750


*Q*
Density functional theory data (PBE-GGA) for a geometry-optimized BiP4O12 structure.

Results
SG   C222_1 (20)
Mass density   3.2 g/cm³

Cell lengths 7.838, 7.838, 17.758 Å; angles 90.00, 90.00, 96.40 degrees
Positions (direct):
O: 0.325 0.848 0.470
O: 0.062 0.624 0.275
O: 0.116 0.655 0.556
O: 0.746 0.835 0.643
O: 0.938 0.376 0.775
O: 0.765 0.527 0.668
O: 0.291 0.215 0.434
O: 0.661 0.471 0.974
O: 0.737 0.725 0.218
O: 0.920 0.118 0.658
O: 0.643 0.485 0.311
O: 0.832 0.361 0.209
O: 0.884 0.345 0.056
O: 0.357 0.515 0.811
O: 0.485 0.643 0.689
O: 0.086 0.635 0.414
O: 0.785 0.709 0.066
O: 0.152 0.675 0.030
O: 0.639 0.168 0.291
O: 0.263 0.275 0.718
O: 0.635 0.086 0.586
O: 0.655 0.116 0.444
O: 0.118 0.920 0.342
O: 0.376 0.938 0.225
O: 0.168 0.639 0.709
O: 0.235 0.473 0.168
O: 0.254 0.165 0.143
O: 0.361 0.832 0.791
O: 0.165 0.254 0.857
O: 0.527 0.765 0.332
O: 0.215 0.291 0.566
O: 0.473 0.235 0.832
O: 0.725 0.737 0.782
O: 0.709 0.785 0.934
O: 0.848 0.325 0.530
O: 0.365 0.914 0.086
O: 0.515 0.357 0.189
O: 0.529 0.339 0.526
O: 0.914 0.365 0.914
O: 0.345 0.884 0.944
O: 0.471 0.661 0.026
O: 0.882 0.080 0.842
O: 0.275 0.263 0.282
O: 0.675 0.152 0.970
O: 0.080 0.882 0.158
O: 0.624 0.062 0.725
O: 0.339 0.529 0.474
O: 0.835 0.746 0.357
P: 0.216 0.679 0.484
P: 0.663 0.337 0.250
P: 0.333 0.333 0.500
P: 0.965 0.263 0.841
P: 0.307 0.320 0.202
P: 0.337 0.663 0.750
P: 0.320 0.307 0.798
P: 0.667 0.667 0.000
P: 0.737 0.035 0.659
P: 0.784 0.321 0.984
P: 0.263 0.965 0.159
P: 0.321 0.784 0.016
P: 0.680 0.693 0.298
P: 0.679 0.216 0.516
P: 0.035 0.737 0.341
P: 0.693 0.680 0.702
Bi: 0.597 0.974 0.853
Bi: 0.403 0.026 0.353
Bi: 0.974 0.597 0.147
Bi: 0.026 0.403 0.647


*R*
Density functional theory data (PBE-GGA) for a geometry-optimized BiP4O12 structure.

Results
SG   C2/m (12)
Mass density   3.2 g/cm³

Cell lengths 10.829, 10.829, 5.272 Å; angles 78.83, 78.83, 66.63 degrees
Positions (direct):
O: 0.858 0.858 0.929
O: 0.142 0.142 0.071
O: 0.869 0.617 0.101
O: 0.301 0.539 0.750
O: 0.326 0.044 0.375
O: 0.275 0.725 0.000
O: 0.699 0.461 0.250
O: 0.506 0.255 0.252
O: 0.956 0.674 0.625
O: 0.044 0.326 0.375
O: 0.131 0.383 0.899
O: 0.685 0.076 0.996
O: 0.461 0.699 0.250
O: 0.255 0.506 0.252
O: 0.494 0.745 0.748
O: 0.539 0.301 0.750
O: 0.674 0.956 0.625
O: 0.383 0.131 0.899
O: 0.924 0.315 0.004
O: 0.745 0.494 0.748
O: 0.315 0.924 0.004
O: 0.076 0.685 0.996
O: 0.617 0.869 0.101
O: 0.725 0.275 0.000
Bi: 0.660 0.660 0.395
Bi: 0.340 0.340 0.605
P: 0.061 0.302 0.098
P: 0.766 0.401 0.998
P: 0.234 0.599 0.002
P: 0.698 0.939 0.902
P: 0.401 0.766 0.998
P: 0.939 0.698 0.902
P: 0.302 0.061 0.098
P: 0.599 0.234 0.002


*P* comes first in stability; the runner-up is 7 meV/atom higher.